VASP calculation (GGA-PBE) on a relaxed AgAsRh2 crystal.

Unit cell a=4.4616 b=4.4616 c=4.4616 alpha=60.00 beta=60.00 gamma=60.00
Atoms (fractional coordinates):
Rh: 0.2500 0.2500 0.2500
Rh: 0.0000 0.0000 0.0000
As: 0.7500 0.7500 0.7500
Ag: 0.5000 0.5000 0.5000

Properties
raw total energy: -5.34 eV/atom
DOS at the Fermi energy: 6.379 states/eV/f.u.


VASP calculation (GGA-PBE) on a relaxed Ag2AsRh crystal.

Unit cell a=5.0162 b=2.9940 c=4.5380 alpha=87.35 beta=90.00 gamma=90.00
Atoms (fractional coordinates):
Rh: 0.5000 0.7500 0.7500
Ag: 0.0000 0.0087 0.9996
Ag: 0.0000 0.4913 0.5004
As: 0.5000 0.2500 0.2500

Properties
raw total energy: -4.27 eV/atom
DOS at the Fermi energy: 2.253 states/eV/f.u.


VASP calculation (GGA-PBE) on a relaxed AgAsRh2 crystal.

Unit cell a=5.0357 b=5.0357 c=4.7292 alpha=70.85 beta=70.85 gamma=34.20
Atoms (fractional coordinates):
Rh: 0.7489 0.7489 0.7381
Rh: 0.9764 0.9764 0.0727
Ag: 0.5143 0.5143 0.5399
As: 0.2604 0.2604 0.1493

Properties
raw total energy: -5.52 eV/atom
DOS at the Fermi energy: 2.080 states/eV/f.u.


VASP calculation (GGA-PBE) on a relaxed AgAsRh2 crystal.

Unit cell a=6.7580 b=4.4959 c=3.0589 alpha=90.07 beta=62.98 gamma=126.66
Atoms (fractional coordinates):
Ag: 0.0000 0.5000 0.5000
As: 0.5000 0.5000 0.0000
Rh: 0.5000 0.0000 0.5000
Rh: 0.0000 0.0000 0.0000

Properties
raw total energy: -5.48 eV/atom
DOS at the Fermi energy: 4.821 states/eV/f.u.


VASP calculation (GGA-PBE) on a relaxed Ag2AsRh crystal.

Unit cell a=4.8749 b=4.8749 c=4.9114 alpha=71.54 beta=71.54 gamma=38.43
Atoms (fractional coordinates):
Ag: 0.7607 0.7607 0.7770
Ag: 0.9984 0.9984 0.9791
As: 0.5147 0.5147 0.4264
Rh: 0.2262 0.2262 0.3175

Properties
raw total energy: -4.38 eV/atom
DOS at the Fermi energy: 1.205 states/eV/f.u.


VASP calculation (GGA-PBE) on a relaxed AgAs4Rh crystal.

Unit cell a=5.4555 b=5.4555 c=5.4555 alpha=60.00 beta=60.00 gamma=60.00
Atoms (fractional coordinates):
As: 0.8804 0.3732 0.3732
As: 0.3732 0.3732 0.8804
As: 0.3732 0.3732 0.3732
As: 0.3732 0.8804 0.3732
Rh: 0.7500 0.7500 0.7500
Ag: 0.0000 0.0000 0.0000

Properties
raw total energy: -4.22 eV/atom
DOS at the Fermi energy: 6.429 states/eV/f.u.


VASP calculation (GGA-PBE) on a relaxed AgAsRh2 crystal.

Unit cell a=3.2380 b=3.2380 c=6.1768 alpha=90.00 beta=90.00 gamma=90.00
Atoms (fractional coordinates):
Rh: 0.0000 0.0000 0.9783
Rh: 0.5000 0.5000 0.2282
As: 0.5000 0.5000 0.8024
Ag: 0.0000 0.0000 0.4912

Properties
raw total energy: -5.45 eV/atom
DOS at the Fermi energy: 4.248 states/eV/f.u.


VASP calculation (GGA-PBE) on a relaxed AgAsRh2 crystal.

Unit cell a=3.7530 b=2.9881 c=5.8737 alpha=74.05 beta=90.00 gamma=90.00
Atoms (fractional coordinates):
As: 0.5000 0.7500 0.7500
Rh: 0.0000 0.9005 0.9754
Rh: 0.0000 0.5995 0.5246
Ag: 0.5000 0.2500 0.2500

Properties
raw total energy: -5.59 eV/atom
DOS at the Fermi energy: 3.424 states/eV/f.u.


VASP calculation (GGA-PBE) on a relaxed AgAs2Rh2 crystal.

Unit cell a=7.3243 b=7.3243 c=3.0382 alpha=90.00 beta=90.00 gamma=90.00
Atoms (fractional coordinates):
Rh: 0.6387 0.1387 0.0000
Rh: 0.1387 0.3613 0.0000
Rh: 0.3613 0.8613 0.0000
Rh: 0.8613 0.6387 0.0000
Ag: 0.5000 0.5000 0.0000
Ag: 0.0000 0.0000 0.0000
As: 0.3473 0.1527 0.5000
As: 0.8473 0.3473 0.5000
As: 0.6527 0.8473 0.5000
As: 0.1527 0.6527 0.5000

Properties
excess energy over the best structure of this formula in the dataset: 86 meV/atom
raw total energy: -5.51 eV/atom
DOS at the Fermi energy: 4.240 states/eV/f.u.


VASP calculation (GGA-PBE) on a relaxed AgAsRh2 crystal.

Unit cell a=2.8104 b=2.8104 c=9.4246 alpha=90.00 beta=90.00 gamma=118.90
Atoms (fractional coordinates):
As: 0.5000 0.5000 0.7761
Ag: 0.0000 0.0000 0.4906
Rh: 0.0000 0.0000 0.9966
Rh: 0.5000 0.5000 0.2366

Properties
raw total energy: -5.33 eV/atom
DOS at the Fermi energy: 4.708 states/eV/f.u.


VASP calculation (GGA-PBE) on a relaxed Ag2AsRh2 crystal.

Unit cell a=6.1449 b=6.1449 c=4.5937 alpha=90.00 beta=90.00 gamma=90.00
Atoms (fractional coordinates):
Rh: 0.8505 0.6495 0.0000
Rh: 0.1495 0.3505 0.0000
Rh: 0.3505 0.8505 0.0000
Rh: 0.6495 0.1495 0.0000
As: 0.5000 0.5000 0.0000
As: 0.0000 0.0000 0.0000
Ag: 0.6614 0.8386 0.5000
Ag: 0.3386 0.1614 0.5000
Ag: 0.8386 0.3386 0.5000
Ag: 0.1614 0.6614 0.5000

Properties
raw total energy: -5.07 eV/atom
DOS at the Fermi energy: 2.283 states/eV/f.u.


VASP calculation (GGA-PBE) on a relaxed Ag2AsRh crystal.

Unit cell a=9.4087 b=9.4087 c=9.4087 alpha=17.90 beta=17.90 gamma=17.90
Atoms (fractional coordinates):
Ag: 0.4988 0.4988 0.4988
Ag: 0.0012 0.0012 0.0012
Rh: 0.7500 0.7500 0.7500
As: 0.2500 0.2500 0.2500

Properties
raw total energy: -4.13 eV/atom
DOS at the Fermi energy: 4.761 states/eV/f.u.


Number 1: total magnetization 0.01 μB/f.u.. Number 2: total magnetization 0.00 μB/f.u.. Number 3: total magnetization 0.00 μB/f.u.. Number 4: total magnetization 0.00 μB/f.u.. Number 5: total magnetization 0.00 μB/f.u.. Number 6: total magnetization 0.00 μB/f.u.. Number 7: total magnetization 0.00 μB/f.u.. Number 8: total magnetization 0.00 μB/f.u.. Number 9: total magnetization 0.00 μB/f.u.. Number 10: total magnetization 0.00 μB/f.u.. Number 11: total magnetization 0.00 μB/f.u.. Number 12: total magnetization 0.65 μB/f.u..